1.
DFT (PBE) results for an optimized crystal structure of Ca2GeB.

Summary:
formation enthalpy at 0 K: 0.184 eV per atom

The structure in CIF format:
```
data_Ca2GeB
_chemical_formula_sum 'Ca8 Ge4 B4'
_space_group_name_H-M_alt 'F m -3 m'
_space_group_IT_number 225
_space_group_name_Hall '-F 4 2 3'
_cell_length_a 6.959
_cell_length_b 6.959
_cell_length_c 6.959
_cell_angle_alpha 90.00
_cell_angle_beta 90.00
_cell_angle_gamma 90.00
loop_
_atom_site_label
_atom_site_type_symbol
_atom_site_fract_x
_atom_site_fract_y
_atom_site_fract_z
Ca1 Ca 0.250 0.250 0.250
Ge1 Ge 0.000 0.000 0.000
B1 B 0.000 0.000 0.500
```

---

2.
DFT (PBE) results for an optimized crystal structure of SrTe2.

Summary:
ΔE_f (raw): -2.44 eV/f.u.

The structure in CIF format:
```
data_SrTe2
_chemical_formula_sum 'Sr3 Te6'
_space_group_name_H-M_alt 'P -6 2 m'
_space_group_IT_number 189
_space_group_name_Hall 'P -6 -2'
_cell_length_a 8.9983
_cell_length_b 8.9983
_cell_length_c 4.4166
_cell_angle_alpha 90.00
_cell_angle_beta 90.00
_cell_angle_gamma 120.00
loop_
_atom_site_label
_atom_site_type_symbol
_atom_site_fract_x
_atom_site_fract_y
_atom_site_fract_z
Sr1 Sr 0.0000 0.0000 0.0000
Sr2 Sr 0.3333 0.6667 0.5000
Te1 Te 0.0000 0.2733 0.5000
Te2 Te 0.0000 0.5714 0.0000
```

---

3.
DFT (PBE) results for an optimized crystal structure of PaCoH.

The structure in CIF format:
```
data_PaCoH
_chemical_formula_sum 'Pa2 Co2 H2'
_space_group_name_H-M_alt 'P m c 21'
_space_group_IT_number 26
_cell_length_a 3.305
_cell_length_b 5.352
_cell_length_c 4.401
_cell_angle_alpha 90.00
_cell_angle_beta 90.00
_cell_angle_gamma 90.00
loop_
_space_group_symop_operation_xyz
'x,y,z'
'-x,-y,z+1/2'
'-x,y,z'
'x,-y,z+1/2'
loop_
_atom_site_label
_atom_site_type_symbol
_atom_site_fract_x
_atom_site_fract_y
_atom_site_fract_z
Pa1 Pa 0.000 0.230 0.000
Co1 Co 0.500 0.359 0.524
H1 H 0.500 0.083 0.349
```

---

4.
DFT (PBE) results for an optimized crystal structure of PRuPt2Br.

Summary:
ΔE_f (raw): 5.07 eV/f.u.

The structure in CIF format:
```
data_PRuPt2Br
_chemical_formula_sum 'P1 Ru1 Pt2 Br1'
_space_group_name_H-M_alt 'P 4/m m m'
_space_group_IT_number 123
_space_group_name_Hall '-P 4 2'
_cell_length_a 4.998
_cell_length_b 4.998
_cell_length_c 4.351
_cell_angle_alpha 90.00
_cell_angle_beta 90.00
_cell_angle_gamma 90.00
loop_
_atom_site_label
_atom_site_type_symbol
_atom_site_fract_x
_atom_site_fract_y
_atom_site_fract_z
P1 P 0.000 0.000 0.000
Ru1 Ru 0.000 0.000 0.500
Pt1 Pt 0.000 0.500 0.500
Br1 Br 0.500 0.500 0.000
```

---

no.,E_tot (eV/cell)
1,-58.3
2,-31.2
3,-41.6
4,-23.4